# 1
Crystalline TiAlRe2 at its relaxed geometry, computed with PBE-GGA.

Properties
DFT total energy = -136.552 eV for the cell shown
E_form = 0.599 eV per atom
Crystal system = tetragonal
Size of the total moment = 0.00 μB per formula unit

Cell lengths 6.972, 6.972, 5.360 Å; angles 90.00, 90.00, 90.00 degrees
Space group I-42d (No. 122)
One atom of each set of equivalent atoms:
Ti: 0.000 0.000 0.000 x4
Al: 0.000 0.000 0.500 x4
Re: 0.246 0.250 0.125 x8

---

# 2
Crystalline YAlW at its relaxed geometry, computed with PBE-GGA.

Properties
DFT total energy = -45.058 eV for the cell shown
E_form = 0.210 eV per atom
Crystal system = tetragonal
Energy above the most stable polymorph in this dataset = 0.100 eV per formula unit
Size of the total moment = 0.00 μB per formula unit

Cell lengths 2.961, 2.961, 13.426 Å; angles 90.00, 90.00, 90.00 degrees
Space group I4mm (No. 107)
One atom of each set of equivalent atoms:
Y: 0.000 0.000 0.000 x2
Al: 0.000 0.000 0.683 x2
W: 0.000 0.000 0.322 x2

---

Q: Which of these has the highest E_form?
A: TiAlRe2